No. 1
The following is a GGA-PBE calculation of crystalline LaMg2P at its relaxed geometry, from Alexandria.

a b c (Å): 4.1462 4.1462 21.5578
angles (deg): 90.00 90.00 120.00
Last column: nearest neighbours and their distance in Å.
Sites, in units of the cell vectors:
La 0.0000 0.0000 0.0000  3 P 2.97
La 0.3333 0.6667 0.6667  3 P 2.97
La 0.6667 0.3333 0.3333  3 P 2.97
Mg 0.0000 0.0000 0.5400  3 P 2.58
Mg 0.0000 0.0000 0.7809  3 Mg 3.12, 3 La 3.43
Mg 0.3333 0.6667 0.2067  3 P 2.58
Mg 0.3333 0.6667 0.4475  3 Mg 3.12, 3 La 3.43
Mg 0.6667 0.3333 0.1142  3 Mg 3.12, 3 La 3.43
Mg 0.6667 0.3333 0.8734  3 P 2.58
P 0.0000 0.0000 0.2516  3 Mg 2.58
P 0.3333 0.6667 0.9183  3 Mg 2.58
P 0.6667 0.3333 0.5849  3 Mg 2.58

- E: -45.56 eV per cell
- Spin magnetization: 0.00 μB/cell
- Calculated formation energy: -0.41 eV per atom

---

No. 2
The following is a GGA-PBE calculation of crystalline AcTb12Dy5 at its relaxed geometry, from Alexandria.

a b c (Å): 10.7369 10.7369 5.0521
angles (deg): 90.00 90.00 90.05
Last column: nearest neighbours and their distance in Å.
Sites, in units of the cell vectors:
Ac 0.0000 0.0000 0.0000  8 Tb 3.63, 4 Dy 3.63
Tb 0.9998 0.3377 0.0000  8 Tb 3.48-3.60, 3 Dy 3.58-3.60, 1 Ac 3.63
Tb 0.0002 0.6623 0.0000  8 Tb 3.48-3.60, 3 Dy 3.58-3.60, 1 Ac 3.63
Tb 0.1683 0.5002 0.5000  4 Dy 3.53-3.56, 8 Tb 3.53-3.62
Tb 0.1714 0.1714 0.5000  8 Tb 3.53-3.60, 2 Ac 3.63, 2 Dy 3.68
Tb 0.3342 0.3342 0.0000  8 Tb 3.53-3.59, 4 Dy 3.56-3.57
Tb 0.3377 0.9998 0.0000  8 Tb 3.48-3.60, 3 Dy 3.58-3.60, 1 Ac 3.63
Tb 0.5002 0.1683 0.5000  4 Dy 3.53-3.56, 8 Tb 3.53-3.62
Tb 0.4998 0.8317 0.5000  4 Dy 3.53-3.56, 8 Tb 3.53-3.62
Tb 0.6623 0.0002 0.0000  8 Tb 3.48-3.60, 3 Dy 3.58-3.60, 1 Ac 3.63
Tb 0.6658 0.6658 0.0000  8 Tb 3.53-3.59, 4 Dy 3.56-3.57
Tb 0.8286 0.8286 0.5000  8 Tb 3.53-3.60, 2 Ac 3.63, 2 Dy 3.68
Tb 0.8317 0.4998 0.5000  4 Dy 3.53-3.56, 8 Tb 3.53-3.62
Dy 0.1714 0.8286 0.5000  8 Tb 3.53-3.68, 2 Dy 3.53, 2 Ac 3.63
Dy 0.3338 0.6662 0.0000  4 Dy 3.53-3.57, 8 Tb 3.56-3.58
Dy 0.5000 0.5000 0.5000  8 Tb 3.56-3.57, 4 Dy 3.57
Dy 0.6662 0.3338 0.0000  4 Dy 3.53-3.57, 8 Tb 3.56-3.58
Dy 0.8286 0.1714 0.5000  8 Tb 3.53-3.68, 2 Dy 3.53, 2 Ac 3.63

- E: -82.20 eV per cell
- Spin magnetization: 0.00 μB/cell
- Calculated formation energy: 0.03 eV per atom

---

No. 3
The following is a GGA-PBE calculation of crystalline Pa5Cr2N12 at its relaxed geometry, from Alexandria.

a b c (Å): 6.7799 6.7799 7.4210
angles (deg): 105.85 105.85 50.40
Last column: nearest neighbours and their distance in Å.
Sites, in units of the cell vectors:
Pa 0.0000 0.0000 0.0000  6 N 2.28-2.38
Pa 0.3165 0.3165 0.1562  7 N 2.21-2.38
Pa 0.3175 0.3175 0.6606  7 N 2.18-2.39
Pa 0.6825 0.6825 0.3394  7 N 2.18-2.39
Pa 0.6835 0.6835 0.8438  7 N 2.21-2.38
Cr 0.2173 0.7827 0.5000  4 N 1.83-1.93
Cr 0.7827 0.2173 0.5000  4 N 1.83-1.93
N 0.0006 0.0006 0.3210  2 Cr 1.83
N 0.0907 0.6032 0.9247  4 Pa 2.28-2.39
N 0.0992 0.5731 0.4168  1 Cr 1.93
N 0.3968 0.9093 0.0753  4 Pa 2.28-2.39
N 0.4269 0.9008 0.5832  1 Cr 1.93
N 0.4994 0.4994 0.6865  2 Cr 2.14, 2 Pa 2.18-2.21
N 0.5006 0.5006 0.3135  2 Cr 2.14, 2 Pa 2.18-2.21
N 0.5731 0.0992 0.4168  1 Cr 1.93
N 0.6032 0.0907 0.9247  4 Pa 2.28-2.39
N 0.9008 0.4269 0.5832  1 Cr 1.93
N 0.9093 0.3968 0.0753  4 Pa 2.28-2.39
N 0.9994 0.9994 0.6790  2 Cr 1.83

- Uncorrected formation energy: -1.216 eV/atom
- E: -189.73 eV per cell
- Spin magnetization: 0.80 μB/cell

---

No. 4
The following is a GGA-PBE calculation of crystalline AlMo3Au at its relaxed geometry, from Alexandria.

a b c (Å): 4.5216 4.5216 4.5216
angles (deg): 90.00 90.00 90.00
Last column: nearest neighbours and their distance in Å.
Sites, in units of the cell vectors:
Al 0.0000 0.0000 0.0000  6 Mo 2.26
Mo 0.0000 0.0000 0.5000  2 Al 2.26
Mo 0.0000 0.5000 0.0000  2 Al 2.26
Mo 0.5000 0.0000 0.0000  2 Al 2.26
Au 0.5000 0.5000 0.5000  12 Mo 3.20

- Distance to the lowest polymorph of the same formula: 0.0 meV per atom
- E: -32.23 eV per cell
- Spin magnetization: 0.00 μB/cell
- Calculated formation energy: 1.46 eV per atom